Record 1
Here is a relaxed structure of TeIrW2 from the Alexandria database. Energies are from PBE.

Properties
E_form (uncorrected) (kcal/mol of atoms): 10.8
Total moment (μB/f.u.): 0.000
V (Å³ per cell): 136
Space-group type: Cm
Total DFT energy (no corrections) (eV per atom): -9.007

The structure in POSCAR format:
```
TeIrW2
1.0
9.601 0.000 0.000
0.000 3.055 0.000
-1.472 0.000 4.645
Te Ir W
2 2 4
direct
0.000 0.000 0.000 Te
0.500 0.500 0.000 Te
0.249 0.000 0.659 Ir
0.749 0.500 0.659 Ir
0.012 0.500 0.531 W
0.258 0.500 0.189 W
0.512 0.000 0.531 W
0.758 0.000 0.189 W
```


Record 2
Here is a relaxed structure of TeIrW2 from the Alexandria database. Energies are from PBE.

Properties
E_form (uncorrected) (kcal/mol of atoms): 9.5
Total moment (μB/f.u.): 0.000
V (Å³ per cell): 71
Space-group type: P4mm
Total DFT energy (no corrections) (eV per atom): -9.065

The structure in POSCAR format:
```
TeIrW2
1.0
3.261 0.000 0.000
0.000 3.261 0.000
0.000 0.000 6.723
Te Ir W
1 1 2
direct
0.000 0.000 0.000 Te
0.500 0.500 0.686 Ir
0.000 0.000 0.492 W
0.500 0.500 0.253 W
```


Record 3
Here is a relaxed structure of TeIr2W from the Alexandria database. Energies are from PBE.

Properties
E_form (uncorrected) (kcal/mol of atoms): 11.4
Total moment (μB/f.u.): 0.000
V (Å³ per cell): 133
Space-group type: I-4m2
Total DFT energy (no corrections) (eV per atom): -7.958

The structure in POSCAR format:
```
TeIr2W
1.0
4.228 0.000 0.000
0.000 4.228 0.000
0.000 0.000 7.429
Te Ir W
2 4 2
direct
0.000 0.000 0.000 Te
0.500 0.500 0.500 Te
0.000 0.000 0.500 Ir
0.000 0.500 0.250 Ir
0.500 0.000 0.750 Ir
0.500 0.500 0.000 Ir
0.000 0.500 0.750 W
0.500 0.000 0.250 W
```


Record 4
Here is a relaxed structure of Te4IrW from the Alexandria database. Energies are from PBE.

Properties
E_form (uncorrected) (kcal/mol of atoms): 42.4
Total moment (μB/f.u.): 2.322
V (Å³ per cell): 153
Space-group type: F-43m
Relative energy among the computed polymorphs (meV/atom): 1945
Total DFT energy (no corrections) (eV per atom): -3.893

The structure in POSCAR format:
```
Te4IrW
1.0
0.000 4.243 4.243
4.243 0.000 4.243
4.243 4.243 0.000
Te Ir W
4 1 1
direct
0.376 0.376 0.376 Te
0.376 0.376 0.873 Te
0.376 0.873 0.376 Te
0.873 0.376 0.376 Te
0.750 0.750 0.750 Ir
0.000 0.000 0.000 W
```


Record 5
Here is a relaxed structure of TeIrW2 from the Alexandria database. Energies are from PBE.

Properties
E_form (uncorrected) (kcal/mol of atoms): 15.0
Total moment (μB/f.u.): 0.000
V (Å³ per cell): 69
Space-group type: Pmmm
Total DFT energy (no corrections) (eV per atom): -8.827

The structure in POSCAR format:
```
TeIrW2
1.0
3.330 0.000 0.000
0.000 4.416 0.000
0.000 0.000 4.676
Te Ir W
1 1 2
direct
0.000 0.000 0.000 Te
0.500 0.500 0.000 Ir
0.000 0.500 0.500 W
0.500 0.000 0.500 W
```


Record 6
Here is a relaxed structure of TeIrW2 from the Alexandria database. Energies are from PBE.

Properties
E_form (uncorrected) (kcal/mol of atoms): 14.3
Total moment (μB/f.u.): 0.000
V (Å³ per cell): 136
Space-group type: Immm
Total DFT energy (no corrections) (eV per atom): -8.858

The structure in POSCAR format:
```
TeIrW2
1.0
3.289 0.000 0.000
0.000 4.527 0.000
0.000 0.000 9.156
Te Ir W
2 2 4
direct
0.000 0.000 0.000 Te
0.500 0.500 0.500 Te
0.000 0.000 0.500 Ir
0.500 0.500 0.000 Ir
0.000 0.500 0.264 W
0.000 0.500 0.736 W
0.500 0.000 0.236 W
0.500 0.000 0.764 W
```


E_form (uncorrected) of number 4 (Te4IrW)? 42.4 kcal/mol of atoms